1.
Below is an optimized crystal structure of GdMgRhAu, with properties calculated at the GGA-PBE level.

Unit cell a=6.8226 b=6.8226 c=6.8226 alpha=90.00 beta=90.00 gamma=90.00
Space group F-43m (No. 216)
Symmetry-distinct sites (fractional):
Gd 0.0000 0.0000 0.0000 [4 per cell]
Mg 0.0000 0.0000 0.5000 [4 per cell]
Rh 0.2500 0.2500 0.2500 [4 per cell]
Au 0.2500 0.2500 0.7500 [4 per cell]

Values from the calculation:
formation enthalpy at 0 K = -0.644 eV/atom
magnetic moment = 1.78 μB/atom

=====

2.
Below is an optimized crystal structure of GdMgSiAu, with properties calculated at the GGA-PBE level.

Unit cell a=6.9299 b=6.9299 c=6.9299 alpha=90.00 beta=90.00 gamma=90.00
Space group F-43m (No. 216)
Symmetry-distinct sites (fractional):
Gd 0.0000 0.0000 0.0000 [4 per cell]
Mg 0.0000 0.0000 0.5000 [4 per cell]
Si 0.2500 0.2500 0.2500 [4 per cell]
Au 0.2500 0.2500 0.7500 [4 per cell]

Values from the calculation:
DFT total energy = -6.637 eV/atom
magnetic moment = 1.74 μB/atom

=====

3.
Below is an optimized crystal structure of SmGdMgAu, with properties calculated at the GGA-PBE level.

Unit cell a=7.4441 b=7.4441 c=7.4441 alpha=90.00 beta=90.00 gamma=90.00
Space group F-43m (No. 216)
Symmetry-distinct sites (fractional):
Sm 0.0000 0.0000 0.0000 [4 per cell]
Gd 0.0000 0.0000 0.5000 [4 per cell]
Mg 0.2500 0.2500 0.2500 [4 per cell]
Au 0.2500 0.2500 0.7500 [4 per cell]

Values from the calculation:
formation enthalpy at 0 K = -0.395 eV/atom
magnetic moment = 1.86 μB/atom

=====

4.
Below is an optimized crystal structure of TbGdMgAu, with properties calculated at the GGA-PBE level.

Unit cell a=7.3899 b=7.3899 c=7.3899 alpha=90.00 beta=90.00 gamma=90.00
Space group F-43m (No. 216)
Symmetry-distinct sites (fractional):
Tb 0.0000 0.0000 0.0000 [4 per cell]
Gd 0.0000 0.0000 0.5000 [4 per cell]
Mg 0.2500 0.2500 0.7500 [4 per cell]
Au 0.2500 0.2500 0.2500 [4 per cell]

Values from the calculation:
formation enthalpy at 0 K = -0.406 eV/atom
magnetic moment = 1.82 μB/atom

=====

5.
Below is an optimized crystal structure of GdThMgAu, with properties calculated at the GGA-PBE level.

Unit cell a=7.4946 b=7.4946 c=7.4946 alpha=90.00 beta=90.00 gamma=90.00
Space group F-43m (No. 216)
Symmetry-distinct sites (fractional):
Gd 0.0000 0.0000 0.0000 [4 per cell]
Th 0.0000 0.0000 0.5000 [4 per cell]
Mg 0.2500 0.2500 0.2500 [4 per cell]
Au 0.2500 0.2500 0.7500 [4 per cell]

Values from the calculation:
formation enthalpy at 0 K = -0.265 eV/atom
magnetic moment = 1.98 μB/atom

=====

6.
Below is an optimized crystal structure of GdMgTlAu, with properties calculated at the GGA-PBE level.

Unit cell a=7.1922 b=7.1922 c=7.1922 alpha=90.00 beta=90.00 gamma=90.00
Space group F-43m (No. 216)
Symmetry-distinct sites (fractional):
Gd 0.0000 0.0000 0.0000 [4 per cell]
Mg 0.0000 0.0000 0.5000 [4 per cell]
Tl 0.2500 0.2500 0.7500 [4 per cell]
Au 0.2500 0.2500 0.2500 [4 per cell]

Values from the calculation:
formation enthalpy at 0 K = -0.498 eV/atom
magnetic moment = 1.77 μB/atom

=====

7.
Below is an optimized crystal structure of GdTmMgAu, with properties calculated at the GGA-PBE level.

Unit cell a=7.3384 b=7.3384 c=7.3384 alpha=90.00 beta=90.00 gamma=90.00
Space group F-43m (No. 216)
Symmetry-distinct sites (fractional):
Gd 0.0000 0.0000 0.0000 [4 per cell]
Tm 0.0000 0.0000 0.5000 [4 per cell]
Mg 0.2500 0.2500 0.7500 [4 per cell]
Au 0.2500 0.2500 0.2500 [4 per cell]

Values from the calculation:
formation enthalpy at 0 K = -0.408 eV/atom
magnetic moment = 1.78 μB/atom

=====

8.
Below is an optimized crystal structure of GdYMgAu, with properties calculated at the GGA-PBE level.

Unit cell a=7.3929 b=7.3929 c=7.3929 alpha=90.00 beta=90.00 gamma=90.00
Space group F-43m (No. 216)
Symmetry-distinct sites (fractional):
Gd 0.0000 0.0000 0.0000 [4 per cell]
Y 0.0000 0.0000 0.5000 [4 per cell]
Mg 0.2500 0.2500 0.7500 [4 per cell]
Au 0.2500 0.2500 0.2500 [4 per cell]

Values from the calculation:
formation enthalpy at 0 K = -0.412 eV/atom
magnetic moment = 1.79 μB/atom

=====

9.
Below is an optimized crystal structure of GdMgZnAu, with properties calculated at the GGA-PBE level.

Unit cell a=6.8840 b=6.8840 c=6.8840 alpha=90.00 beta=90.00 gamma=90.00
Space group F-43m (No. 216)
Symmetry-distinct sites (fractional):
Gd 0.0000 0.0000 0.0000 [4 per cell]
Mg 0.2500 0.2500 0.2500 [4 per cell]
Zn 0.0000 0.0000 0.5000 [4 per cell]
Au 0.2500 0.2500 0.7500 [4 per cell]

Values from the calculation:
formation enthalpy at 0 K = -0.374 eV/atom
magnetic moment = 1.81 μB/atom

=====

10.
Below is an optimized crystal structure of NdGdMnAu, with properties calculated at the GGA-PBE level.

Unit cell a=7.3216 b=7.3216 c=7.3216 alpha=90.00 beta=90.00 gamma=90.00
Space group F-43m (No. 216)
Symmetry-distinct sites (fractional):
Nd 0.0000 0.0000 0.0000 [4 per cell]
Gd 0.0000 0.0000 0.5000 [4 per cell]
Mn 0.2500 0.2500 0.7500 [4 per cell]
Au 0.2500 0.2500 0.2500 [4 per cell]

Values from the calculation:
formation enthalpy at 0 K = -0.178 eV/atom
magnetic moment = 2.62 μB/atom

=====

11.
Below is an optimized crystal structure of GdMnPdAu, with properties calculated at the GGA-PBE level.

Unit cell a=6.8154 b=6.8154 c=6.8154 alpha=90.00 beta=90.00 gamma=90.00
Space group F-43m (No. 216)
Symmetry-distinct sites (fractional):
Gd 0.0000 0.0000 0.0000 [4 per cell]
Mn 0.0000 0.0000 0.5000 [4 per cell]
Pd 0.2500 0.2500 0.7500 [4 per cell]
Au 0.2500 0.2500 0.2500 [4 per cell]

Values from the calculation:
formation enthalpy at 0 K = -0.430 eV/atom
magnetic moment = 2.86 μB/atom

=====

12.
Below is an optimized crystal structure of GdMnPtAu, with properties calculated at the GGA-PBE level.

Unit cell a=6.8094 b=6.8094 c=6.8094 alpha=90.00 beta=90.00 gamma=90.00
Space group F-43m (No. 216)
Symmetry-distinct sites (fractional):
Gd 0.0000 0.0000 0.0000 [4 per cell]
Mn 0.0000 0.0000 0.5000 [4 per cell]
Pt 0.2500 0.2500 0.2500 [4 per cell]
Au 0.2500 0.2500 0.7500 [4 per cell]

Values from the calculation:
formation enthalpy at 0 K = -0.536 eV/atom
magnetic moment = 2.87 μB/atom

=====

13.
Below is an optimized crystal structure of GdMnRhAu, with properties calculated at the GGA-PBE level.

Unit cell a=6.7417 b=6.7417 c=6.7417 alpha=90.00 beta=90.00 gamma=90.00
Space group F-43m (No. 216)
Symmetry-distinct sites (fractional):
Gd 0.0000 0.0000 0.0000 [4 per cell]
Mn 0.0000 0.0000 0.5000 [4 per cell]
Rh 0.2500 0.2500 0.7500 [4 per cell]
Au 0.2500 0.2500 0.2500 [4 per cell]

Values from the calculation:
formation enthalpy at 0 K = -0.355 eV/atom
magnetic moment = 2.94 μB/atom

=====

14.
Below is an optimized crystal structure of SmGdMnAu, with properties calculated at the GGA-PBE level.

Unit cell a=7.2772 b=7.2772 c=7.2772 alpha=90.00 beta=90.00 gamma=90.00
Space group F-43m (No. 216)
Symmetry-distinct sites (fractional):
Sm 0.0000 0.0000 0.0000 [4 per cell]
Gd 0.0000 0.0000 0.5000 [4 per cell]
Mn 0.2500 0.2500 0.7500 [4 per cell]
Au 0.2500 0.2500 0.2500 [4 per cell]

Values from the calculation:
formation enthalpy at 0 K = -0.196 eV/atom
magnetic moment = 2.63 μB/atom

=====

15.
Below is an optimized crystal structure of TbGdMnAu, with properties calculated at the GGA-PBE level.

Unit cell a=7.2176 b=7.2176 c=7.2176 alpha=90.00 beta=90.00 gamma=90.00
Space group F-43m (No. 216)
Symmetry-distinct sites (fractional):
Tb 0.0000 0.0000 0.0000 [4 per cell]
Gd 0.0000 0.0000 0.5000 [4 per cell]
Mn 0.2500 0.2500 0.7500 [4 per cell]
Au 0.2500 0.2500 0.2500 [4 per cell]

Values from the calculation:
formation enthalpy at 0 K = -0.221 eV/atom
magnetic moment = 2.65 μB/atom